An optimized crystal structure of FeGeO3, computed with PBE with a Hubbard U.

Calculated values
total DFT energy (no corrections)	-6.6035	eV per atom
space-group type	C2/c (15)

Structure (POSCAR):
```
FeGeO3
1.0
5.3097 -4.6241 0.0000
5.3097 4.6241 0.0000
-2.1552 0.0000 5.2346
Fe Ge O
4 4 12
direct
0.0955 0.9045 0.7500
0.2638 0.7362 0.2500
0.7362 0.2638 0.7500
0.9045 0.0955 0.2500
0.2003 0.3810 0.7969
0.3810 0.2003 0.2969
0.6190 0.7997 0.7031
0.7997 0.6190 0.2031
0.0224 0.2010 0.6607
0.1353 0.6355 0.8574
0.2010 0.0224 0.1607
0.3179 0.3899 0.1292
0.3645 0.8647 0.6426
0.3899 0.3179 0.6292
0.6101 0.6821 0.3708
0.6355 0.1353 0.3574
0.6821 0.6101 0.8708
0.7990 0.9776 0.8393
0.8647 0.3645 0.1426
0.9776 0.7990 0.3393
```